w) A plane-wave DFT calculation with PBE was carried out for Hf2UH after structural relaxation.

SG   R-3m (166)
Magnetization   1.3 μB/f.u.

a b c (Å): 3.046 3.046 8.755
angles (deg): 79.98 79.98 60.00
Site moments in Bohr magnetons follow the coordinates.
Positions (direct):
Hf 0.115 0.115 0.656  -0.14
Hf 0.885 0.885 0.344  -0.14
U 0.000 0.000 0.000  1.60
H 0.500 0.500 0.500  0.00

x) A plane-wave DFT calculation with PBE was carried out for Hf2UH after structural relaxation.

SG   P4/mmm (123)
Magnetization   0.0 μB/f.u.

a b c (Å): 2.933 2.933 7.953
angles (deg): 90.00 90.00 90.00
Positions (direct):
Hf 0.000 0.000 0.812
Hf 0.000 0.000 0.188
U 0.500 0.500 0.500
H 0.500 0.500 0.000

Most stable to least stable, the ends of the list are w) and x).

w) A plane-wave DFT calculation with PBE was carried out for HfVH2 after structural relaxation.

SG   R-3m (166)
Magnetization   0.0 μB/f.u.

a b c (Å): 3.065 3.065 5.058
angles (deg): 72.36 72.36 60.00
Positions (direct):
H 0.267 0.267 0.200
H 0.733 0.733 0.800
Hf 0.500 0.500 0.500
V 0.000 0.000 0.000

x) A plane-wave DFT calculation with PBE was carried out for HfVH2 after structural relaxation.

SG   I-42d (122)
Magnetization   0.0 μB/f.u.

a b c (Å): 4.121 4.121 5.678
angles (deg): 68.72 68.72 90.00
Positions (direct):
H 0.579 0.125 0.250
H 0.171 0.625 0.250
H 0.375 0.421 0.750
H 0.875 0.829 0.750
Hf 0.000 0.000 0.000
Hf 0.750 0.250 0.500
V 0.500 0.500 0.000
V 0.250 0.750 0.500

Most stable to least stable, the ends of the list are x) and w).

w) A plane-wave DFT calculation with PBE was carried out for HfVH2 after structural relaxation.

SG   Fm-3m (225)
Magnetization   0.0 μB/f.u.

a b c (Å): 3.836 3.836 3.836
angles (deg): 60.00 60.00 60.00
Positions (direct):
H 0.250 0.250 0.250
H 0.750 0.750 0.750
Hf 0.500 0.500 0.500
V 0.000 0.000 0.000

x) A plane-wave DFT calculation with PBE was carried out for HfVH2 after structural relaxation.

SG   P-4m2 (115)
Magnetization   0.0 μB/f.u.

a b c (Å): 3.506 5.924 4.867
angles (deg): 145.20 136.09 53.71
Positions (direct):
Hf 0.374 0.134 0.999
V 0.374 0.634 0.000
H 0.199 0.134 0.501
H 0.052 0.634 0.500

Most stable to least stable, the ends of the list are x) and w).